1.
An optimized crystal structure of Tc2Ir, computed with PBE.

a b c (Å): 6.1519 6.1519 6.1519
angles (deg): 154.34 154.34 36.60
Fractional coordinates of all 3 atoms:
Ir (0.5000, 0.5000, 0.0000)
Tc (0.1676, 0.1676, 0.0000)
Tc (0.8324, 0.8324, 0.0000)

space-group type: I4/mmm, No. 139
density: 14.79 g cm⁻³
N(E_F): 3.32 states/eV per cell
DFT total energy: -29.840 eV for the cell shown
formation energy from the elements: -0.082 eV/atom



2.
An optimized crystal structure of Ce2PmBe2Pt7, computed with PBE.

a b c (Å): 4.4171 4.4171 11.9105
angles (deg): 81.99 81.99 97.14
Last column: magnetic moment on the atom in μB.
Fractional coordinates of all 12 atoms:
Ce (0.8063, 0.8063, 0.3799)  0.26
Ce (0.1937, 0.1937, 0.6201)  0.26
Pm (0.0000, 0.0000, 0.0000)  0.00
Be (0.6983, 0.6983, 0.8139)  0.00
Be (0.3017, 0.3017, 0.1861)  0.00
Pt (0.5000, 0.5000, 0.0000)  -0.01
Pt (0.3025, 0.3025, 0.3767)  -0.02
Pt (0.6975, 0.6975, 0.6233)  -0.02
Pt (0.8310, 0.4018, 0.1913)  -0.01
Pt (0.4018, 0.8310, 0.1913)  -0.01
Pt (0.5982, 0.1690, 0.8087)  -0.01
Pt (0.1690, 0.5982, 0.8087)  -0.01

space-group type: C2/m, No. 12
density: 13.33 g cm⁻³
N(E_F): 8.65 states/eV per cell
DFT total energy: -76.878 eV for the cell shown
formation energy from the elements: -0.877 eV/atom



3.
An optimized crystal structure of TiCuAg, computed with PBE.

a b c (Å): 2.9834 2.9834 10.6164
angles (deg): 90.00 90.00 90.00
Fractional coordinates of all 6 atoms:
Ti (0.0000, 0.5000, 0.5867)
Ti (0.5000, 0.0000, 0.4133)
Cu (0.5000, 0.0000, 0.7413)
Cu (0.0000, 0.5000, 0.2587)
Ag (0.0000, 0.5000, 0.9034)
Ag (0.5000, 0.0000, 0.0966)

space-group type: P4/nmm, No. 129
density: 7.71 g cm⁻³
N(E_F): 2.68 states/eV per cell
DFT total energy: -29.828 eV for the cell shown
formation energy from the elements: -0.024 eV/atom



4.
An optimized crystal structure of LiPmSc2Te4, computed with PBE.

a b c (Å): 4.2340 7.3688 7.4530
angles (deg): 108.95 90.00 90.00
Fractional coordinates of all 8 atoms:
Li (0.5000, 0.5000, 0.0000)
Pm (0.0000, 0.0000, 0.0000)
Sc (0.5000, 0.0000, 0.5000)
Sc (0.0000, 0.5000, 0.5000)
Te (0.5000, 0.2654, 0.2652)
Te (0.5000, 0.7346, 0.7348)
Te (0.0000, 0.2549, 0.7395)
Te (0.0000, 0.7451, 0.2605)

space-group type: P2/m, No. 10
density: 5.68 g cm⁻³
N(E_F): 3.97 states/eV per cell
DFT total energy: -41.694 eV for the cell shown
uncorrected formation energy: -9.80 eV per formula unit



5.
An optimized crystal structure of GaCuOsO6, computed with PBE.

a b c (Å): 5.0576 5.0576 8.8176
angles (deg): 90.00 90.00 120.00
Last column: magnetic moment on the atom in μB.
Fractional coordinates of all 18 atoms:
Ga (0.6667, 0.3333, 0.2500)  0.00
Ga (0.3333, 0.6667, 0.7500)  0.00
Cu (0.0000, 0.0000, 0.0000)  0.24
Cu (0.0000, 0.0000, 0.5000)  0.24
Os (0.3333, 0.6667, 0.2500)  -0.12
Os (0.6667, 0.3333, 0.7500)  -0.12
O (0.6383, 0.6515, 0.1300)  0.01
O (0.0132, 0.3617, 0.1300)  0.01
O (0.3617, 0.0132, 0.6300)  0.01
O (0.9868, 0.6383, 0.8700)  0.01
O (0.3485, 0.3617, 0.3700)  0.01
O (0.0132, 0.6515, 0.3700)  0.01
O (0.6515, 0.0132, 0.8700)  0.01
O (0.6383, 0.9868, 0.3700)  0.01
O (0.9868, 0.3485, 0.6300)  0.01
O (0.3485, 0.9868, 0.1300)  0.01
O (0.6515, 0.6383, 0.6300)  0.01
O (0.3617, 0.3485, 0.8700)  0.01

space-group type: P-31c, No. 163
density: 7.13 g cm⁻³
N(E_F): 7.31 states/eV per cell
DFT total energy: -113.632 eV for the cell shown
uncorrected formation energy: -8.71 eV per formula unit



6.
An optimized crystal structure of RbAl2Pb2, computed with PBE.

a b c (Å): 8.9807 8.9807 3.6156
angles (deg): 90.00 90.00 90.00
Fractional coordinates of all 10 atoms:
Pb (0.1633, 0.6633, 0.5000)
Pb (0.6633, 0.8367, 0.5000)
Pb (0.8367, 0.3367, 0.5000)
Pb (0.3367, 0.1633, 0.5000)
Al (0.3829, 0.8829, 0.0000)
Al (0.8829, 0.6171, 0.0000)
Al (0.6171, 0.1171, 0.0000)
Al (0.1171, 0.3829, 0.0000)
Rb (0.0000, 0.0000, 0.0000)
Rb (0.5000, 0.5000, 0.0000)

space-group type: P4/mbm, No. 127
density: 6.31 g cm⁻³
N(E_F): 6.45 states/eV per cell
DFT total energy: -30.140 eV for the cell shown
formation energy from the elements: 0.160 eV/atom



7.
An optimized crystal structure of Nd12Ni6N, computed with PBE.

a b c (Å): 8.0295 8.0295 8.0295
angles (deg): 96.46 96.46 96.46
Fractional coordinates of all 19 atoms:
Nd (0.8136, 0.5925, 0.4246)
Nd (0.4246, 0.8136, 0.5925)
Nd (0.5925, 0.4246, 0.8136)
Nd (0.1864, 0.4075, 0.5754)
Nd (0.5754, 0.1864, 0.4075)
Nd (0.4075, 0.5754, 0.1864)
Nd (0.0903, 0.9554, 0.3049)
Nd (0.0446, 0.6951, 0.9097)
Nd (0.6951, 0.9097, 0.0446)
Nd (0.9097, 0.0446, 0.6951)
Nd (0.9554, 0.3049, 0.0903)
Nd (0.3049, 0.0903, 0.9554)
Ni (0.6962, 0.8821, 0.3823)
Ni (0.6177, 0.3038, 0.1179)
Ni (0.1179, 0.6177, 0.3038)
Ni (0.3038, 0.1179, 0.6177)
Ni (0.3823, 0.6962, 0.8821)
Ni (0.8821, 0.3823, 0.6962)
N (0.0000, 0.0000, 0.0000)

space-group type: R-3, No. 148
density: 6.87 g cm⁻³
N(E_F): 17.79 states/eV per cell
DFT total energy: -104.888 eV for the cell shown
uncorrected formation energy: -4.66 eV per formula unit



8.
An optimized crystal structure of Na2Tl7Sn, computed with PBE.

a b c (Å): 8.4835 8.4835 8.4835
angles (deg): 60.00 60.00 60.00
Fractional coordinates of all 10 atoms:
Na (0.2500, 0.2500, 0.2500)
Na (0.7500, 0.7500, 0.7500)
Tl (0.5000, 0.5000, 0.5000)
Tl (0.2467, 0.7533, 0.7533)
Tl (0.2467, 0.7533, 0.2467)
Tl (0.7533, 0.2467, 0.7533)
Tl (0.7533, 0.7533, 0.2467)
Tl (0.2467, 0.2467, 0.7533)
Tl (0.7533, 0.2467, 0.2467)
Sn (0.0000, 0.0000, 0.0000)

space-group type: Fm-3m, No. 225
density: 6.14 g cm⁻³
N(E_F): 5.18 states/eV per cell
DFT total energy: -20.930 eV for the cell shown
formation energy from the elements: 0.228 eV/atom



9.
An optimized crystal structure of LaScSe2N, computed with PBE.

a b c (Å): 5.2191 5.2191 4.1133
angles (deg): 90.00 90.00 90.00
Last column: magnetic moment on the atom in μB.
Fractional coordinates of all 5 atoms:
Sc (0.0000, 0.0000, 0.0000)  0.01
N (0.0000, 0.0000, 0.5000)  0.58
Se (0.0000, 0.5000, 0.0000)  0.07
Se (0.5000, 0.0000, 0.0000)  0.07
La (0.5000, 0.5000, 0.5000)  -0.03

space-group type: P4/mmm, No. 123
density: 5.27 g cm⁻³
N(E_F): 2.74 states/eV per cell
DFT total energy: -32.092 eV for the cell shown
uncorrected formation energy: -5.54 eV per formula unit



10.
An optimized crystal structure of BRhC, computed with PBE.

a b c (Å): 2.7216 2.8067 4.3035
angles (deg): 85.00 71.40 61.00
Fractional coordinates of all 3 atoms:
C (0.3294, 0.9503, 0.9740)
B (0.6707, 0.3054, 0.9385)
Rh (0.5468, 0.0452, 0.4543)

space-group type: P1, No. 1
density: 7.69 g cm⁻³
N(E_F): 1.78 states/eV per cell
DFT total energy: -22.711 eV for the cell shown
formation energy from the elements: 0.181 eV/atom



11.
An optimized crystal structure of La4AsN, computed with PBE.

a b c (Å): 6.6977 7.3408 8.2714
angles (deg): 90.00 90.00 90.00
Last column: magnetic moment on the atom in μB.
Fractional coordinates of all 12 atoms:
La (0.3571, 0.6418, 0.0000)  0.17
La (0.8049, 0.3272, 0.0000)  0.11
La (0.3339, 0.1932, 0.7662)  0.14
La (0.8339, 0.8068, 0.7338)  0.14
La (0.3049, 0.6728, 0.5000)  0.11
La (0.8571, 0.3582, 0.5000)  0.17
La (0.8339, 0.8068, 0.2662)  0.14
La (0.3339, 0.1932, 0.2338)  0.14
As (0.0806, 0.9802, 0.0000)  0.00
As (0.5806, 0.0198, 0.5000)  0.00
N (0.4616, 0.3318, 0.0000)  0.00
N (0.9616, 0.6682, 0.5000)  0.00

space-group type: Pmn2_1, No. 31
density: 5.26 g cm⁻³
N(E_F): 13.98 states/eV per cell
DFT total energy: -75.230 eV for the cell shown
uncorrected formation energy: -4.93 eV per formula unit



12.
An optimized crystal structure of BaZn2Rh, computed with PBE.

a b c (Å): 4.9288 4.9288 9.4318
angles (deg): 74.85 74.85 90.00
Fractional coordinates of all 8 atoms:
Zn (0.3749, 0.1250, 0.2500)
Zn (0.3751, 0.6250, 0.2500)
Zn (0.3750, 0.6251, 0.7500)
Zn (0.8750, 0.6249, 0.7500)
Rh (0.5000, 0.5000, 0.0000)
Rh (0.2500, 0.7500, 0.5000)
Ba (0.0000, 0.0000, 0.0000)
Ba (0.7500, 0.2500, 0.5000)

space-group type: I4_1/amd, No. 141
density: 5.79 g cm⁻³
N(E_F): 5.39 states/eV per cell
DFT total energy: -25.147 eV for the cell shown
formation energy from the elements: -0.188 eV/atom